[1]
Compound: MnTcPt2
Source: the Alexandria database
Functional: GGA-PBEsol
Structure: optimized geometry

Output
SG: I-4m2 (119)
Energy of formation from the pure elements (eV/atom): -0.1278
Total energy (eV per atom): -8.8664
Crystal system: tetragonal
E above lowest polymorph (meV/atom): 0

Cell: 3.8167 3.8167 4.6774 Å, 114.08 114.08 90.00°
Sites, in units of the cell vectors:
Mn  0.2500  0.7500  0.5000
Pt  0.0000  0.0000  0.0000
Pt  0.7500  0.2500  0.5000
Tc  0.5000  0.5000  0.0000

[2]
Compound: MnTc2Pt
Source: the Alexandria database
Functional: GGA-PBEsol
Structure: optimized geometry

Output
SG: Pmm2 (25)
Energy of formation from the pure elements (eV/atom): -0.0432
Total energy (eV per atom): -9.8575
Crystal system: orthorhombic
E above lowest polymorph (meV/atom): 0

Cell: 2.6639 3.7924 5.3804 Å, 90.00 90.00 90.00°
Sites, in units of the cell vectors:
Mn  0.0000  0.0000  0.4907
Pt  0.5000  0.5000  0.7428
Tc  0.0000  0.0000  0.0151
Tc  0.5000  0.5000  0.2513

[3]
Compound: Mn2TcPt
Source: the Alexandria database
Functional: GGA-PBEsol
Structure: optimized geometry

Output
SG: Fm-3m (225)
Energy of formation from the pure elements (eV/atom): -0.0125
Total energy (eV per atom): -9.4506
Crystal system: cubic

Cell: 4.2462 4.2462 4.2462 Å, 60.00 60.00 60.00°
Sites, in units of the cell vectors:
Mn  0.7500  0.7500  0.7500
Mn  0.2500  0.2500  0.2500
Pt  0.5000  0.5000  0.5000
Tc  0.0000  0.0000  0.0000

[4]
Compound: MnTcPt2
Source: the Alexandria database
Functional: GGA-PBEsol
Structure: optimized geometry

Output
SG: P4mm (99)
Energy of formation from the pure elements (eV/atom): 0.0378
Total energy (eV per atom): -8.7008
Crystal system: tetragonal
E above lowest polymorph (meV/atom): 166

Cell: 3.2285 3.2285 5.4535 Å, 90.00 90.00 90.00°
Sites, in units of the cell vectors:
Mn  0.5000  0.5000  0.7520
Pt  0.0000  0.0000  0.9858
Pt  0.5000  0.5000  0.2584
Tc  0.0000  0.0000  0.5038

Look up the total energy of the second one. -9.8575 eV per atom

Among the records above, which one has the highest energy of formation from the pure elements? number 4

The highest total energy belongs to which entry? number 4